{
  "formula": "Fe2Te4BrClO10",
  "functional": "GGA+U",
  "state": "relaxed",
  "lattice": [[13.4723, 0.0000, 0.0000], [0.0000, 6.7025, 0.0000], [-4.4043, 0.0000, 13.8187]],
  "species": ["Fe", "Fe", "Fe", "Fe", "Fe", "Fe", "Fe", "Fe", "Te", "Te", "Te", "Te", "Te", "Te", "Te", "Te", "Te", "Te", "Te", "Te", "Te", "Te", "Te", "Te", "Br", "Br", "Br", "Br", "Cl", "Cl", "Cl", "Cl", "O", "O", "O", "O", "O", "O", "O", "O", "O", "O", "O", "O", "O", "O", "O", "O", "O", "O", "O", "O", "O", "O", "O", "O", "O", "O", "O", "O", "O", "O", "O", "O", "O", "O", "O", "O", "O", "O", "O", "O"],
  "frac_coords": [[0.0628, 0.2065, 0.1439], [0.0628, 0.2935, 0.6439], [0.1172, 0.5006, 0.9784], [0.1172, 0.9994, 0.4784], [0.8828, 0.0006, 0.5216], [0.8828, 0.4994, 0.0216], [0.9372, 0.7065, 0.3561], [0.9372, 0.7935, 0.8561], [0.1116, 0.6890, 0.2133], [0.1116, 0.8110, 0.7133], [0.1977, 0.5184, 0.5199], [0.1977, 0.9816, 0.0199], [0.2809, 0.2103, 0.3598], [0.2809, 0.2897, 0.8598], [0.3663, 0.0324, 0.6367], [0.3663, 0.4676, 0.1367], [0.6337, 0.5324, 0.8633], [0.6337, 0.9676, 0.3633], [0.7191, 0.7103, 0.1402], [0.7191, 0.7897, 0.6402], [0.8023, 0.0184, 0.9801], [0.8023, 0.4816, 0.4801], [0.8884, 0.1890, 0.2867], [0.8884, 0.3110, 0.7867], [0.3883, 0.6487, 0.7817], [0.3883, 0.8513, 0.2817], [0.6117, 0.1487, 0.7183], [0.6117, 0.3513, 0.2183], [0.4357, 0.7035, 0.0481], [0.4357, 0.7965, 0.5481], [0.5643, 0.2035, 0.4519], [0.5643, 0.2965, 0.9519], [0.0097, 0.2417, 0.2529], [0.0097, 0.2583, 0.7529], [0.0385, 0.5125, 0.1022], [0.0385, 0.9875, 0.6022], [0.0892, 0.7018, 0.4490], [0.0892, 0.7982, 0.9490], [0.1007, 0.5763, 0.6366], [0.1007, 0.9237, 0.1366], [0.1128, 0.2133, 0.0200], [0.1128, 0.2867, 0.5200], [0.1864, 0.0179, 0.3792], [0.1864, 0.4821, 0.8792], [0.2105, 0.2284, 0.7264], [0.2105, 0.2716, 0.2264], [0.2122, 0.0477, 0.8920], [0.2122, 0.4523, 0.3920], [0.2317, 0.5932, 0.0906], [0.2317, 0.9068, 0.5906], [0.3376, 0.2355, 0.5431], [0.3376, 0.2645, 0.0431], [0.6624, 0.7355, 0.9569], [0.6624, 0.7645, 0.4569], [0.7683, 0.0932, 0.4094], [0.7683, 0.4068, 0.9094], [0.7878, 0.5477, 0.6080], [0.7878, 0.9523, 0.1080], [0.7895, 0.7284, 0.7736], [0.7895, 0.7716, 0.2736], [0.8136, 0.5179, 0.1208], [0.8136, 0.9821, 0.6208], [0.8872, 0.7133, 0.4800], [0.8872, 0.7867, 0.9800], [0.8993, 0.0763, 0.8634], [0.8993, 0.4237, 0.3634], [0.9108, 0.2018, 0.0510], [0.9108, 0.2982, 0.5510], [0.9615, 0.0125, 0.3978], [0.9615, 0.4875, 0.8978], [0.9903, 0.7417, 0.2471], [0.9903, 0.7583, 0.7471]],
  "relative_energy_mev_per_atom": 0,
  "spacegroup": "P2_1/c"
}